No. 1
Entry from Alexandria: an optimized crystal structure of ZrTcI (PBE-GGA).

a = 3.719 Å, b = 5.736 Å, c = 7.815 Å
α = 98.87°, β = 96.74°, γ = 107.25°
Atoms (fractional coordinates):
I: 0.139 0.049 0.169
I: 0.741 0.429 0.889
Zr: 0.094 0.200 0.556
Zr: 0.482 0.886 0.823
Tc: 0.355 0.825 0.455
Tc: 0.819 0.650 0.595

Properties
DOS(E_F) ... 0.685 states/eV per atom
Energy relative to the elements, uncorrected ... 0.053 eV per atom
Total moment ... 0.00 Bohr magnetons per cell
ΔE to the lowest computed polymorph ... 470 meV per atom
Crystal system ... triclinic

No. 2
Entry from Alexandria: an optimized crystal structure of Pm3Sm2Dy6Pb (PBE-GGA).

a = 6.156 Å, b = 6.156 Å, c = 11.780 Å
α = 95.03°, β = 95.03°, γ = 120.01°
Atoms (fractional coordinates):
Dy: 0.755 0.755 0.248
Dy: 0.082 0.408 0.247
Dy: 0.245 0.245 0.752
Dy: 0.408 0.082 0.247
Dy: 0.918 0.592 0.753
Dy: 0.592 0.918 0.753
Sm: 0.666 0.334 0.000
Sm: 0.334 0.666 0.000
Pm: 0.832 0.168 0.500
Pm: 0.168 0.832 0.500
Pm: 0.500 0.500 0.500
Pb: 0.000 0.000 0.000

Properties
DOS(E_F) ... 1.186 states/eV per atom
Total moment ... 0.00 Bohr magnetons per cell
Crystal system ... monoclinic
Formation enthalpy at 0 K ... -63 meV/atom

No. 3
Entry from Alexandria: an optimized crystal structure of TlPdF6 (PBE-GGA).

a = 5.232 Å, b = 5.415 Å, c = 5.800 Å
α = 64.12°, β = 62.78°, γ = 59.46°
Atoms (fractional coordinates):
Pd: 0.000 0.000 0.000
F: 0.393 0.769 0.766
F: 0.904 0.600 0.251
F: 0.096 0.400 0.749
F: 0.226 0.919 0.239
F: 0.774 0.081 0.761
F: 0.607 0.231 0.234
Tl: 0.500 0.500 0.500

Properties
DOS(E_F) ... 0.030 states/eV per atom
Energy relative to the elements, uncorrected ... -1.501 eV per atom
Total moment ... 1.00 Bohr magnetons per cell
Crystal system ... triclinic

No. 4
Entry from Alexandria: an optimized crystal structure of Pm6Co2CuCl3 (PBE-GGA).

a = 6.937 Å, b = 6.937 Å, c = 7.795 Å
α = 98.47°, β = 98.47°, γ = 120.10°
Atoms (fractional coordinates):
Cl: 0.170 0.830 0.500
Cl: 0.830 0.170 0.500
Cl: 0.500 0.500 0.500
Pm: 0.285 0.285 0.797
Pm: 0.715 0.715 0.203
Pm: 0.580 0.932 0.796
Pm: 0.932 0.580 0.796
Pm: 0.420 0.068 0.204
Pm: 0.068 0.420 0.204
Co: 0.333 0.667 0.000
Co: 0.667 0.333 0.000
Cu: 0.000 0.000 0.000

Properties
DOS(E_F) ... 0.698 states/eV per atom
Energy relative to the elements, uncorrected ... -0.826 eV per atom
Total moment ... 0.00 Bohr magnetons per cell
Crystal system ... monoclinic

Copy entry 2 word for word.
Entry from Alexandria: an optimized crystal structure of Pm3Sm2Dy6Pb (PBE-GGA).

a = 6.156 Å, b = 6.156 Å, c = 11.780 Å
α = 95.03°, β = 95.03°, γ = 120.01°
Atoms (fractional coordinates):
Dy: 0.755 0.755 0.248
Dy: 0.082 0.408 0.247
Dy: 0.245 0.245 0.752
Dy: 0.408 0.082 0.247
Dy: 0.918 0.592 0.753
Dy: 0.592 0.918 0.753
Sm: 0.666 0.334 0.000
Sm: 0.334 0.666 0.000
Pm: 0.832 0.168 0.500
Pm: 0.168 0.832 0.500
Pm: 0.500 0.500 0.500
Pb: 0.000 0.000 0.000

Properties
DOS(E_F) ... 1.186 states/eV per atom
Total moment ... 0.00 Bohr magnetons per cell
Crystal system ... monoclinic
Formation enthalpy at 0 K ... -63 meV/atom